{"formula": "LuMg2", "functional": "PBE-GGA", "state": "relaxed", "cell": [[-13.7749, 8.4908, -5.0809], [-1.9238, -2.4334, 1.1490], [-0.2509, 2.4631, 4.7963]], "species": ["Mg", "Mg", "Mg", "Mg", "Mg", "Mg", "Mg", "Mg", "Lu", "Lu", "Lu", "Lu"], "fractional_positions": [[0.7804, 0.0000, 0.5000], [0.2804, 0.5000, 0.5000], [0.5016, 0.5000, 0.0000], [0.0016, 0.0000, 0.0000], [0.1641, 0.5000, 0.0000], [0.9428, 0.5000, 0.5000], [0.6641, 0.0000, 0.0000], [0.4428, 0.0000, 0.5000], [0.8307, 0.5000, 0.0000], [0.3307, 0.0000, 0.0000], [0.6138, 0.5000, 0.5000], [0.1138, 0.0000, 0.5000]], "space_group": "Cmcm (63)", "total_energy_ev_per_atom": -2.530, "magnetic_moment_mub_per_cell": 0.00}